Record 1
# Pb2Br2O, optimized geometry, DFT PBE
# - Total energy: -83.536 eV/cell
# - Formation energy from raw total energies: -1033 meV/atom
data_Pb2Br2O
_symmetry_space_group_name_H-M 'I b a m'
_symmetry_Int_Tables_number 72
_symmetry_space_group_name_Hall '-I 2 2c'
_cell_length_a 7.784
_cell_length_b 12.234
_cell_length_c 6.236
_cell_angle_alpha 90.00
_cell_angle_beta 90.00
_cell_angle_gamma 90.00
loop_
_atom_site_label
_atom_site_fract_x
_atom_site_fract_y
_atom_site_fract_z
Pb1 0.185 0.088 0.000
Br1 0.156 0.368 0.000
O1 0.000 0.000 0.250

=====

Record 2
# Pb3BrO3, optimized geometry, DFT PBE
# - Polymorph energy (0 for the lowest one): 0.00 kcal/mol of atoms
# - Total energy: -137.599 eV/cell
# - Formation energy from raw total energies: -961 meV/atom
data_Pb3BrO3
_symmetry_space_group_name_H-M 'P m c 21'
_symmetry_Int_Tables_number 26
_symmetry_space_group_name_Hall 'P 2c -2'
_cell_length_a 6.015
_cell_length_b 6.888
_cell_length_c 16.410
_cell_angle_alpha 90.00
_cell_angle_beta 90.00
_cell_angle_gamma 90.00
loop_
_atom_site_label
_atom_site_fract_x
_atom_site_fract_y
_atom_site_fract_z
Pb1 0.000 0.051 0.000
Pb2 0.000 0.254 0.806
Pb3 0.000 0.286 0.192
Pb4 0.500 0.073 0.362
Pb5 0.500 0.108 0.612
Pb6 0.500 0.358 0.001
Br1 0.000 0.331 0.551
Br2 0.500 0.500 0.258
O1 0.000 0.054 0.280
O2 0.240 0.173 0.915
O3 0.244 0.152 0.088
O4 0.500 0.193 0.484

=====

Record 3
# PbBrO2, optimized geometry, DFT PBE
# - Polymorph energy (0 for the lowest one): 7.90 kcal/mol of atoms
# - Total energy: -63.537 eV/cell
# - Formation energy from raw total energies: -147 meV/atom
data_PbBrO2
_symmetry_space_group_name_H-M 'I -4 2 d'
_symmetry_Int_Tables_number 122
_symmetry_space_group_name_Hall 'I -4 2bw'
_cell_length_a 6.335
_cell_length_b 6.335
_cell_length_c 8.673
_cell_angle_alpha 90.00
_cell_angle_beta 90.00
_cell_angle_gamma 90.00
loop_
_atom_site_label
_atom_site_fract_x
_atom_site_fract_y
_atom_site_fract_z
Pb1 0.000 0.000 0.000
Br1 0.000 0.000 0.500
O1 0.142 0.250 0.125